Record 1
Crystalline PrTlPb2Cl8 at its relaxed geometry. Source: the Alexandria database, functional PBE.

Structure (POSCAR):
```
PrTlPb2Cl8
1.0
6.674 0.000 0.000
0.000 9.023 0.000
-0.078 0.000 6.947
Pr Tl Pb Cl
1 1 2 8
Direct
0.000 0.000 0.000 Pr
0.000 0.500 0.000 Tl
0.500 0.254 0.500 Pb
0.500 0.746 0.500 Pb
0.235 0.220 0.165 Cl
0.235 0.780 0.165 Cl
0.254 0.000 0.680 Cl
0.280 0.500 0.638 Cl
0.720 0.500 0.362 Cl
0.746 0.000 0.320 Cl
0.765 0.220 0.835 Cl
0.765 0.780 0.835 Cl
```

Calculated total energy   -0.1448 Ha/atom
Space-group type   P2/m, No. 10

***

Record 2
Crystalline PtPb2Cl at its relaxed geometry. Source: the Alexandria database, functional PBE.

Structure (POSCAR):
```
PtPb2Cl
1.0
3.439 -1.981 0.000
3.439 1.981 0.000
-2.270 0.000 7.920
Pt Pb Cl
1 2 1
Direct
0.000 0.000 0.000 Pt
0.262 0.262 0.785 Pb
0.738 0.738 0.215 Pb
0.500 0.500 0.500 Cl
```

Calculated total energy   -0.1578 Ha/atom
Space-group type   C2/m, No. 12

***

Record 3
Crystalline PtPbCl at its relaxed geometry. Source: the Alexandria database, functional PBE.

Structure (POSCAR):
```
PtPbCl
1.0
5.939 -1.826 0.000
5.939 1.826 0.000
-0.942 0.000 3.369
Pt Pb Cl
1 1 1
Direct
0.000 0.000 0.000 Pt
0.618 0.618 0.608 Pb
0.341 0.341 0.845 Cl
```

Calculated total energy   -0.1476 Ha/atom
Space-group type   Cm, No. 8